Here is an optimized crystal structure of Er4Al12Pd from the Alexandria database. Energies are from PBE.

abc: 7.4640 7.4640 7.4640
angles: 109.47 109.47 109.47
Fractional coordinates of all 17 atoms:
Er1 0.0000 0.0000 0.5000
Er2 0.0000 0.5000 0.0000
Er3 0.5000 0.0000 0.0000
Er4 0.5000 0.5000 0.5000
Al1 0.0000 0.2927 0.2927
Al2 0.0000 0.7073 0.7073
Al3 0.2500 0.5000 0.7500
Al4 0.2500 0.7500 0.5000
Al5 0.2927 0.0000 0.2927
Al6 0.2927 0.2927 0.0000
Al7 0.5000 0.2500 0.7500
Al8 0.5000 0.7500 0.2500
Al9 0.7073 0.0000 0.7073
Al10 0.7073 0.7073 0.0000
Al11 0.7500 0.2500 0.5000
Al12 0.7500 0.5000 0.2500
Pd1 0.0000 0.0000 0.0000

- calculated volume (Å³/atom) = 18.830
- N(E_F) (states/eV/atom) = 0.136
- total DFT energy (no corrections) (eV/atom) = -4.55
- size of the total moment (μB/atom) = 0.00
- symmetry = Im-3m, No. 229

Here is an optimized crystal structure of ErAl12Pd4 from the Alexandria database. Energies are from PBE.

abc: 7.5846 7.5846 7.5846
angles: 109.47 109.47 109.47
Fractional coordinates of all 17 atoms:
Er1 0.0000 0.0000 0.0000
Al1 0.1562 0.4971 0.3409
Al2 0.1562 0.8153 0.6591
Al3 0.1847 0.3409 0.8438
Al4 0.3409 0.1562 0.4971
Al5 0.3409 0.8438 0.1847
Al6 0.4971 0.3409 0.1562
Al7 0.5029 0.6591 0.8438
Al8 0.6591 0.1562 0.8153
Al9 0.6591 0.8438 0.5029
Al10 0.8153 0.6591 0.1562
Al11 0.8438 0.1847 0.3409
Al12 0.8438 0.5029 0.6591
Pd1 0.0000 0.0000 0.5000
Pd2 0.0000 0.5000 0.0000
Pd3 0.5000 0.0000 0.0000
Pd4 0.5000 0.5000 0.5000

- calculated volume (Å³/atom) = 19.757
- N(E_F) (states/eV/atom) = 0.741
- total DFT energy (no corrections) (eV/atom) = -4.31
- size of the total moment (μB/atom) = 0.00
- symmetry = Im-3, No. 204

Here is an optimized crystal structure of Er2Al5Pd3 from the Alexandria database. Energies are from PBE.

abc: 12.7189 12.7189 6.6820
angles: 90.00 90.00 160.41
Fractional coordinates of all 20 atoms:
Er1 0.0179 0.9821 0.5000
Er2 0.3255 0.6745 0.4648
Er3 0.6745 0.3255 0.9648
Er4 0.9821 0.0179 0.0000
Al1 0.1021 0.8979 0.1522
Al2 0.2074 0.7926 0.6547
Al3 0.2106 0.7894 0.2520
Al4 0.3737 0.6263 0.9897
Al5 0.4456 0.5544 0.3215
Al6 0.5544 0.4456 0.8215
Al7 0.6263 0.3737 0.4897
Al8 0.7894 0.2106 0.7520
Al9 0.7926 0.2074 0.1547
Al10 0.8979 0.1021 0.6522
Pd1 0.1079 0.8921 0.7560
Pd2 0.2730 0.7270 0.9505
Pd3 0.4501 0.5499 0.7162
Pd4 0.5499 0.4501 0.2162
Pd5 0.7270 0.2730 0.4505
Pd6 0.8921 0.1079 0.2560

- calculated volume (Å³/atom) = 18.121
- N(E_F) (states/eV/atom) = 0.480
- total DFT energy (no corrections) (eV/atom) = -5.13
- size of the total moment (μB/atom) = 0.00
- symmetry = Cmc2_1, No. 36

Here is an optimized crystal structure of Er4Al3Pd from the Alexandria database. Energies are from PBE.

abc: 3.7112 4.4627 11.3071
angles: 90.00 90.00 90.00
Fractional coordinates of all 8 atoms:
Er1 0.0000 0.0000 0.0000
Er2 0.0000 0.5000 0.2838
Er3 0.5000 0.0000 0.4773
Er4 0.5000 0.5000 0.7960
Al1 0.0000 0.0000 0.7060
Al2 0.0000 0.5000 0.5684
Al3 0.5000 0.5000 0.0674
Pd1 0.5000 0.0000 0.2108

- calculated volume (Å³/atom) = 23.408
- N(E_F) (states/eV/atom) = 0.814
- total DFT energy (no corrections) (eV/atom) = -4.85
- size of the total moment (μB/atom) = 0.00
- symmetry = Pmm2, No. 25

Here is an optimized crystal structure of ErAl7Pd5 from the Alexandria database. Energies are from PBE.

abc: 6.8331 6.8331 6.8331
angles: 133.31 96.85 101.23
Fractional coordinates of all 13 atoms:
Er1 0.0000 0.0000 0.0000
Al1 0.1990 0.4902 0.7088
Al2 0.2300 0.7300 0.5000
Al3 0.3561 0.3561 0.0000
Al4 0.3628 0.0146 0.3482
Al5 0.6584 0.6584 0.0000
Al6 0.6664 0.0146 0.6518
Al7 0.7815 0.4902 0.2912
Pd1 0.0150 0.4978 0.0196
Pd2 0.0150 0.9953 0.5171
Pd3 0.4782 0.4978 0.4829
Pd4 0.4782 0.9953 0.9804
Pd5 0.7817 0.2817 0.5000

- calculated volume (Å³/atom) = 16.380
- N(E_F) (states/eV/atom) = 0.331
- total DFT energy (no corrections) (eV/atom) = -5.10
- size of the total moment (μB/atom) = 0.00
- symmetry = Imm2, No. 44

Here is an optimized crystal structure of ErAl9Pd2 from the Alexandria database. Energies are from PBE.

abc: 8.3681 8.3681 8.3681
angles: 100.60 100.60 129.19
Fractional coordinates of all 24 atoms:
Er1 0.3750 0.6250 0.7500
Er2 0.6250 0.3750 0.2500
Al1 0.1250 0.8750 0.2500
Al2 0.1307 0.5573 0.3298
Al3 0.1307 0.8009 0.5735
Al4 0.1991 0.2726 0.3298
Al5 0.1991 0.8693 0.9265
Al6 0.2726 0.1991 0.8298
Al7 0.2726 0.4427 0.0735
Al8 0.4427 0.2726 0.5735
Al9 0.4427 0.8693 0.1702
Al10 0.5573 0.1307 0.8298
Al11 0.5573 0.7274 0.4265
Al12 0.7274 0.5573 0.9265
Al13 0.7274 0.8009 0.1702
Al14 0.8009 0.1307 0.0735
Al15 0.8009 0.7274 0.6702
Al16 0.8693 0.1991 0.4265
Al17 0.8693 0.4427 0.6702
Al18 0.8750 0.1250 0.7500
Pd1 0.0000 0.0000 0.0000
Pd2 0.0000 0.0000 0.5000
Pd3 0.0000 0.5000 0.0000
Pd4 0.5000 0.0000 0.5000

- calculated volume (Å³/atom) = 17.093
- N(E_F) (states/eV/atom) = 0.266
- total DFT energy (no corrections) (eV/atom) = -4.46
- size of the total moment (μB/atom) = 0.00
- symmetry = I4_1/amd, No. 141

Here is an optimized crystal structure of Er2Al3Pd from the Alexandria database. Energies are from PBE.

abc: 5.4131 5.4131 5.4131
angles: 61.53 61.53 61.53
Fractional coordinates of all 6 atoms:
Er1 0.1237 0.1237 0.1237
Er2 0.8763 0.8763 0.8763
Al1 0.0000 0.5000 0.5000
Al2 0.5000 0.0000 0.5000
Al3 0.5000 0.5000 0.0000
Pd1 0.5000 0.5000 0.5000

- calculated volume (Å³/atom) = 19.340
- N(E_F) (states/eV/atom) = 0.435
- total DFT energy (no corrections) (eV/atom) = -4.95
- size of the total moment (μB/atom) = 0.00
- symmetry = R-3m, No. 166

Here is an optimized crystal structure of Er2Al9Pd3 from the Alexandria database. Energies are from PBE.

abc: 7.6655 7.6655 10.4149
angles: 111.51 111.51 59.80
Fractional coordinates of all 28 atoms:
Er1 0.0853 0.2530 0.2501
Er2 0.2530 0.0853 0.7501
Er3 0.7470 0.9147 0.2499
Er4 0.9147 0.7470 0.7499
Al1 0.0249 0.8587 0.0761
Al2 0.1413 0.9751 0.4239
Al3 0.1921 0.3584 0.5744
Al4 0.2107 0.5818 0.2520
Al5 0.3116 0.4810 0.9394
Al6 0.3584 0.1921 0.0744
Al7 0.3725 0.6275 0.7500
Al8 0.4182 0.7893 0.2480
Al9 0.4810 0.3116 0.4394
Al10 0.5190 0.6884 0.5606
Al11 0.5818 0.2107 0.7520
Al12 0.6275 0.3725 0.2500
Al13 0.6416 0.8079 0.9256
Al14 0.6884 0.5190 0.0606
Al15 0.7893 0.4182 0.7480
Al16 0.8079 0.6416 0.4256
Al17 0.8587 0.0249 0.5761
Al18 0.9751 0.1413 0.9239
Pd1 0.0000 0.5000 0.0000
Pd2 0.1565 0.6722 0.5002
Pd3 0.3278 0.8435 0.9998
Pd4 0.5000 0.0000 0.5000
Pd5 0.6722 0.1565 0.0002
Pd6 0.8435 0.3278 0.4998

- calculated volume (Å³/atom) = 17.118
- N(E_F) (states/eV/atom) = 0.367
- total DFT energy (no corrections) (eV/atom) = -4.85
- size of the total moment (μB/atom) = 0.00
- symmetry = C2/c, No. 15

Here is an optimized crystal structure of ErAlPd6 from the Alexandria database. Energies are from PBE.

abc: 8.0333 5.3989 7.3424
angles: 90.00 112.08 90.00
Fractional coordinates of all 16 atoms:
Er1 0.0000 0.0000 0.0000
Er2 0.5000 0.5000 0.0000
Al1 0.0000 0.5000 0.5000
Al2 0.5000 0.0000 0.5000
Pd1 0.1581 0.0000 0.4450
Pd2 0.1836 0.2438 0.7893
Pd3 0.1836 0.7562 0.7893
Pd4 0.3164 0.2562 0.2107
Pd5 0.3164 0.7438 0.2107
Pd6 0.3419 0.5000 0.5550
Pd7 0.6581 0.5000 0.4450
Pd8 0.6836 0.2562 0.7893
Pd9 0.6836 0.7438 0.7893
Pd10 0.8164 0.2438 0.2107
Pd11 0.8164 0.7562 0.2107
Pd12 0.8419 0.0000 0.5550

- calculated volume (Å³/atom) = 18.443
- N(E_F) (states/eV/atom) = 0.448
- total DFT energy (no corrections) (eV/atom) = -5.38
- size of the total moment (μB/atom) = 0.00
- symmetry = C2/m, No. 12

Here is an optimized crystal structure of Er2Al3Pd4 from the Alexandria database. Energies are from PBE.

abc: 8.1000 8.1000 7.6226
angles: 90.00 90.00 139.81
Fractional coordinates of all 18 atoms:
Er1 0.1074 0.8926 0.9129
Er2 0.3926 0.6074 0.4129
Er3 0.6074 0.3926 0.5871
Er4 0.8926 0.1074 0.0871
Al1 0.0000 0.0000 0.5000
Al2 0.0205 0.4795 0.7500
Al3 0.4795 0.0205 0.2500
Al4 0.5000 0.5000 0.0000
Al5 0.5205 0.9795 0.7500
Al6 0.9795 0.5205 0.2500
Pd1 0.1823 0.8177 0.5219
Pd2 0.1890 0.3110 0.7500
Pd3 0.3110 0.1890 0.2500
Pd4 0.3177 0.6823 0.0219
Pd5 0.6823 0.3177 0.9781
Pd6 0.6890 0.8110 0.7500
Pd7 0.8110 0.6890 0.2500
Pd8 0.8177 0.1823 0.4781

- calculated volume (Å³/atom) = 17.931
- N(E_F) (states/eV/atom) = 0.454
- total DFT energy (no corrections) (eV/atom) = -5.49
- size of the total moment (μB/atom) = 0.00
- symmetry = Cmce, No. 64

Here is an optimized crystal structure of Er12AlPd6 from the Alexandria database. Energies are from PBE.

abc: 8.5764 8.5764 8.5764
angles: 108.72 108.72 108.72
Fractional coordinates of all 19 atoms:
Er1 0.0579 0.3549 0.1228
Er2 0.1228 0.0579 0.3549
Er3 0.1770 0.4680 0.6364
Er4 0.3549 0.1228 0.0579
Er5 0.3636 0.8230 0.5320
Er6 0.4680 0.6364 0.1770
Er7 0.5320 0.3636 0.8230
Er8 0.6364 0.1770 0.4680
Er9 0.6451 0.8772 0.9421
Er10 0.8230 0.5320 0.3636
Er11 0.8772 0.9421 0.6451
Er12 0.9421 0.6451 0.8772
Al1 0.5000 0.5000 0.5000
Pd1 0.1501 0.7957 0.7191
Pd2 0.2043 0.2809 0.8499
Pd3 0.2809 0.8499 0.2043
Pd4 0.7191 0.1501 0.7957
Pd5 0.7957 0.7191 0.1501
Pd6 0.8499 0.2043 0.2809

- calculated volume (Å³/atom) = 26.245
- N(E_F) (states/eV/atom) = 0.803
- total DFT energy (no corrections) (eV/atom) = -5.22
- size of the total moment (μB/atom) = 0.00
- symmetry = R-3, No. 148

Here is an optimized crystal structure of ErAl4Pd from the Alexandria database. Energies are from PBE.

abc: 10.3621 10.3621 4.5977
angles: 102.79 102.79 142.96
Fractional coordinates of all 12 atoms:
Er1 0.2502 0.2502 0.9997
Er2 0.7498 0.7498 0.0003
Al1 0.0714 0.4299 0.9999
Al2 0.1455 0.3533 0.4983
Al3 0.3533 0.1455 0.4983
Al4 0.4299 0.0714 0.9999
Al5 0.5701 0.9286 0.0001
Al6 0.6467 0.8545 0.5017
Al7 0.8545 0.6467 0.5017
Al8 0.9286 0.5701 0.0001
Pd1 0.0000 0.5000 0.5000
Pd2 0.5000 0.0000 0.5000

- calculated volume (Å³/atom) = 17.762
- N(E_F) (states/eV/atom) = 0.549
- total DFT energy (no corrections) (eV/atom) = -4.54
- size of the total moment (μB/atom) = 0.00
- symmetry = C2/m, No. 12

Here is an optimized crystal structure of ErAl2Pd7 from the Alexandria database. Energies are from PBE.

abc: 10.3578 10.3578 10.3578
angles: 157.07 157.07 32.65
Fractional coordinates of all 10 atoms:
Er1 0.0000 0.0000 0.0000
Al1 0.3245 0.3245 0.0000
Al2 0.6755 0.6755 0.0000
Pd1 0.1030 0.6030 0.5000
Pd2 0.2500 0.7500 0.5000
Pd3 0.3970 0.8970 0.5000
Pd4 0.5000 0.5000 0.0000
Pd5 0.6030 0.1030 0.5000
Pd6 0.7500 0.2500 0.5000
Pd7 0.8970 0.3970 0.5000

- calculated volume (Å³/atom) = 16.850
- N(E_F) (states/eV/atom) = 0.231
- total DFT energy (no corrections) (eV/atom) = -5.61
- size of the total moment (μB/atom) = 0.00
- symmetry = I4/mmm, No. 139

Here is an optimized crystal structure of ErAlPd14 from the Alexandria database. Energies are from PBE.

abc: 5.6748 5.6748 7.8402
angles: 90.00 90.00 90.00
Fractional coordinates of all 16 atoms:
Er1 0.0000 0.0000 0.0000
Al1 0.5000 0.5000 0.0000
Pd1 0.0000 0.0000 0.5000
Pd2 0.0000 0.5000 0.0000
Pd3 0.0000 0.5000 0.5000
Pd4 0.2551 0.2551 0.2490
Pd5 0.2551 0.2551 0.7510
Pd6 0.2551 0.7449 0.2490
Pd7 0.2551 0.7449 0.7510
Pd8 0.5000 0.0000 0.0000
Pd9 0.5000 0.0000 0.5000
Pd10 0.5000 0.5000 0.5000
Pd11 0.7449 0.2551 0.2490
Pd12 0.7449 0.2551 0.7510
Pd13 0.7449 0.7449 0.2490
Pd14 0.7449 0.7449 0.7510

- calculated volume (Å³/atom) = 15.780
- N(E_F) (states/eV/atom) = 1.614
- total DFT energy (no corrections) (eV/atom) = -5.42
- size of the total moment (μB/atom) = 0.00
- symmetry = P4/mmm, No. 123

Here is an optimized crystal structure of Er4AlPd2 from the Alexandria database. Energies are from PBE.

abc: 9.2316 9.2316 9.2316
angles: 30.31 30.31 30.31
Fractional coordinates of all 7 atoms:
Er1 0.1199 0.1199 0.1199
Er2 0.2937 0.2937 0.2937
Er3 0.7063 0.7063 0.7063
Er4 0.8801 0.8801 0.8801
Al1 0.5000 0.5000 0.5000
Pd1 0.4037 0.4037 0.4037
Pd2 0.5963 0.5963 0.5963

- calculated volume (Å³/atom) = 25.371
- N(E_F) (states/eV/atom) = 0.659
- total DFT energy (no corrections) (eV/atom) = -5.15
- size of the total moment (μB/atom) = 0.00
- symmetry = R-3m, No. 166

Here is an optimized crystal structure of Er6Al2Pd from the Alexandria database. Energies are from PBE.

abc: 8.5575 8.5575 8.5575
angles: 146.65 131.20 60.39
Fractional coordinates of all 9 atoms:
Er1 0.0816 0.3380 0.7436
Er2 0.2397 0.0000 0.2397
Er3 0.4056 0.6620 0.7436
Er4 0.5944 0.3380 0.2564
Er5 0.7603 0.0000 0.7603
Er6 0.9184 0.6620 0.2564
Al1 0.3332 0.8332 0.5000
Al2 0.6668 0.1668 0.5000
Pd1 0.0000 0.5000 0.5000

- calculated volume (Å³/atom) = 28.534
- N(E_F) (states/eV/atom) = 0.839
- total DFT energy (no corrections) (eV/atom) = -4.64
- size of the total moment (μB/atom) = 0.00
- symmetry = Immm, No. 71

Here is an optimized crystal structure of Er4AlPd3 from the Alexandria database. Energies are from PBE.

abc: 3.7431 4.4611 10.7646
angles: 90.00 90.00 90.00
Fractional coordinates of all 8 atoms:
Er1 0.0000 0.0000 0.0000
Er2 0.0000 0.5000 0.2706
Er3 0.5000 0.0000 0.4836
Er4 0.5000 0.5000 0.7801
Al1 0.0000 0.0000 0.7067
Pd1 0.0000 0.5000 0.5580
Pd2 0.5000 0.0000 0.2194
Pd3 0.5000 0.5000 0.0507

- calculated volume (Å³/atom) = 22.469
- N(E_F) (states/eV/atom) = 0.518
- total DFT energy (no corrections) (eV/atom) = -5.49
- size of the total moment (μB/atom) = 0.00
- symmetry = Pmm2, No. 25

Here is an optimized crystal structure of Er2Al12Pd7 from the Alexandria database. Energies are from PBE.

abc: 9.8726 9.8726 4.1923
angles: 90.00 90.00 120.00
Fractional coordinates of all 21 atoms:
Er1 0.0000 0.0000 0.0000
Er2 0.3333 0.6667 0.5000
Al1 0.0173 0.2845 0.5000
Al2 0.1535 0.7663 0.0000
Al3 0.2337 0.3872 0.0000
Al4 0.2672 0.9827 0.5000
Al5 0.3709 0.1994 0.0000
Al6 0.5400 0.4106 0.5000
Al7 0.5894 0.1294 0.5000
Al8 0.6128 0.8465 0.0000
Al9 0.7155 0.7328 0.5000
Al10 0.8006 0.1715 0.0000
Al11 0.8285 0.6291 0.0000
Al12 0.8706 0.4600 0.5000
Pd1 0.0223 0.4641 0.0000
Pd2 0.2403 0.2328 0.5000
Pd3 0.4418 0.9777 0.0000
Pd4 0.5359 0.5582 0.0000
Pd5 0.6667 0.3333 0.0000
Pd6 0.7672 0.0075 0.5000
Pd7 0.9925 0.7597 0.5000

- calculated volume (Å³/atom) = 16.851
- N(E_F) (states/eV/atom) = 0.292
- total DFT energy (no corrections) (eV/atom) = -5.07
- size of the total moment (μB/atom) = 0.00
- symmetry = P-6, No. 174